Here is a relaxed Nd4Ag3 crystal from Alexandria. Energies are from GGA-PBE.

abc: 9.033 9.033 9.033
angles: 33.90 33.90 33.90
Fractional positions:
Nd  0.122  0.122  0.122
Nd  0.373  0.373  0.373
Nd  0.627  0.627  0.627
Nd  0.878  0.878  0.878
Ag  0.249  0.249  0.249
Ag  0.500  0.500  0.500
Ag  0.751  0.751  0.751

## Properties
As for the formation energy: -0.7 eV/f.u. The total magnetic moment is 1.047 Bohr magnetons per cell. The value obtained for the density of states at the Fermi level is 9.06 states/eV per cell. The calculation puts the distance to the lowest polymorph of the same formula at 0.41 eV per formula unit. Its volume is 204 Å³/cell. The total energy is -4.05 eV per atom. The space group is R-3m, No. 166.

***

Here is a relaxed NaPrSm2 crystal from Alexandria. Energies are from GGA-PBE.

abc: 13.136 13.136 13.136
angles: 15.70 15.70 15.70
Fractional positions:
Na  0.000  0.000  0.000
Pr  0.500  0.500  0.500
Sm  0.091  0.091  0.091
Sm  0.909  0.909  0.909

## Properties
As for the formation energy: 0.6 eV/f.u. The total magnetic moment is 0.000 Bohr magnetons per cell. The value obtained for the density of states at the Fermi level is 5.57 states/eV per cell. The calculation puts the distance to the lowest polymorph of the same formula at 0.16 eV per formula unit. Its volume is 145 Å³/cell. The total energy is -3.72 eV per atom. The space group is R-3m, No. 166.

***

Here is a relaxed MnVTcGe crystal from Alexandria. Energies are from GGA-PBE.

abc: 4.202 4.202 4.202
angles: 60.00 60.00 60.00
Fractional positions:
Mn  0.000  0.000  0.000
V  0.750  0.750  0.750
Tc  0.500  0.500  0.500
Ge  0.250  0.250  0.250

## Properties
As for the formation energy: -1.0 eV/f.u. The total magnetic moment is 0.946 Bohr magnetons per cell. The value obtained for the density of states at the Fermi level is 2.75 states/eV per cell. Its volume is 52 Å³/cell. The total energy is -8.57 eV per atom. The space group is F-43m, No. 216.

***

Here is a relaxed LaIn2Ir crystal from Alexandria. Energies are from GGA-PBE.

abc: 4.304 4.304 5.111
angles: 90.00 90.00 90.00
Fractional positions:
La  0.000  0.000  0.000
In  0.000  0.500  0.500
In  0.500  0.000  0.500
Ir  0.500  0.500  0.000

## Properties
As for the formation energy: -1.1 eV/f.u. The total magnetic moment is 0.000 Bohr magnetons per cell. The value obtained for the density of states at the Fermi level is 2.99 states/eV per cell. Its volume is 95 Å³/cell. The total energy is -5.10 eV per atom. The space group is P4/mmm, No. 123.

***

Here is a relaxed Sr3Ho3ScTe8 crystal from Alexandria. Energies are from GGA-PBE.

abc: 9.169 9.169 9.169
angles: 57.41 57.41 57.41
Fractional positions:
Sr  0.000  0.500  0.500
Sr  0.500  0.000  0.500
Sr  0.500  0.500  0.000
Ho  0.000  0.000  0.500
Ho  0.000  0.500  0.000
Ho  0.500  0.000  0.000
Sc  0.500  0.500  0.500
Te  0.243  0.243  0.243
Te  0.246  0.739  0.739
Te  0.261  0.261  0.754
Te  0.261  0.754  0.261
Te  0.739  0.246  0.739
Te  0.739  0.739  0.246
Te  0.754  0.261  0.261
Te  0.757  0.757  0.757

## Properties
The total magnetic moment is 0.000 Bohr magnetons per cell. The value obtained for the density of states at the Fermi level is 4.68 states/eV per cell. Its volume is 513 Å³/cell. The total energy is -4.82 eV per atom. The space group is R-3m, No. 166. The uncorrected formation energy comes out at -1471 meV per atom.

***

Here is a relaxed FeTeSeN2 crystal from Alexandria. Energies are from GGA-PBE.

abc: 3.725 3.725 5.744
angles: 90.00 90.00 90.00
Fractional positions:
Fe  0.000  0.000  0.000
Te  0.000  0.000  0.500
Se  0.500  0.500  0.500
N  0.000  0.500  0.000
N  0.500  0.000  0.000

## Properties
The total magnetic moment is 0.000 Bohr magnetons per cell. The value obtained for the density of states at the Fermi level is 2.62 states/eV per cell. The calculation puts the distance to the lowest polymorph of the same formula at 0.00 eV per formula unit. Its volume is 80 Å³/cell. The total energy is -5.42 eV per atom. The space group is P4/mmm, No. 123. The uncorrected formation energy comes out at 928 meV per atom.

***

Here is a relaxed Nd2Ho2In7 crystal from Alexandria. Energies are from GGA-PBE.

abc: 7.704 7.704 6.076
angles: 90.00 90.00 96.15
Fractional positions:
Nd  0.197  0.197  0.000
Nd  0.803  0.803  0.000
Ho  0.268  0.732  0.500
Ho  0.732  0.268  0.500
In  0.000  0.000  0.500
In  0.000  0.500  0.238
In  0.000  0.500  0.762
In  0.500  0.000  0.238
In  0.500  0.000  0.762
In  0.500  0.500  0.238
In  0.500  0.500  0.762

## Properties
As for the formation energy: 0.1 eV/f.u. The total magnetic moment is 0.000 Bohr magnetons per cell. The value obtained for the density of states at the Fermi level is 6.78 states/eV per cell. Its volume is 359 Å³/cell. The total energy is -3.43 eV per atom. The space group is Cmmm, No. 65.

***

Here is a relaxed PaGePt2 crystal from Alexandria. Energies are from GGA-PBE.

abc: 3.290 3.290 6.914
angles: 90.00 90.00 90.00
Fractional positions:
Pa  0.000  0.000  0.000
Ge  0.000  0.000  0.500
Pt  0.500  0.500  0.277
Pt  0.500  0.500  0.723

## Properties
As for the formation energy: -2.5 eV/f.u. The total magnetic moment is 0.000 Bohr magnetons per cell. The value obtained for the density of states at the Fermi level is 2.49 states/eV per cell. Its volume is 75 Å³/cell. The total energy is -7.16 eV per atom. The space group is P4/mmm, No. 123.